No. 1
{"formula": "LaGa2Te", "functional": "PBE", "state": "relaxed", "total_energy_ev_per_cell": -31.5, "dos_at_fermi_per_ev_cell": 8.7, "formation_energy_uncorrected_mev_per_atom": -403, "vol_a3_per_atom": 27.67, "cell": [[-4.181, 4.181, 3.167], [4.181, -4.181, 3.167], [4.181, 4.181, -3.167]], "species": ["La", "La", "Ga", "Ga", "Ga", "Ga", "Te", "Te"], "frac_coords": [[0.000, 0.000, 0.000], [0.750, 0.250, 0.500], [0.144, 0.625, 0.019], [0.375, 0.394, 0.519], [0.606, 0.125, 0.981], [0.875, 0.856, 0.481], [0.250, 0.750, 0.500], [0.500, 0.500, 0.000]]}

No. 2
{"formula": "La2GaTe4", "functional": "PBE", "state": "relaxed", "total_energy_ev_per_cell": -66.2, "dos_at_fermi_per_ev_cell": 3.9, "formation_energy_uncorrected_mev_per_atom": -1090, "vol_a3_per_atom": 32.60, "cell": [[7.270, 0.000, 0.000], [0.000, 7.383, 0.000], [-2.645, 0.000, 8.503]], "species": ["La", "La", "La", "La", "Ga", "Ga", "Te", "Te", "Te", "Te", "Te", "Te", "Te", "Te"], "frac_coords": [[0.208, 0.250, 0.045], [0.263, 0.250, 0.570], [0.737, 0.750, 0.430], [0.792, 0.750, 0.955], [0.279, 0.750, 0.322], [0.721, 0.250, 0.678], [0.005, 0.005, 0.263], [0.005, 0.495, 0.263], [0.413, 0.750, 0.067], [0.431, 0.750, 0.646], [0.569, 0.250, 0.354], [0.587, 0.250, 0.933], [0.995, 0.505, 0.737], [0.995, 0.995, 0.737]]}

No. 3
{"formula": "La6GaTe5", "functional": "PBE", "state": "relaxed", "total_energy_ev_per_cell": -65.7, "dos_at_fermi_per_ev_cell": 6.8, "formation_energy_uncorrected_mev_per_atom": -1446, "vol_a3_per_atom": 33.84, "cell": [[3.970, -6.849, 0.000], [3.970, 6.849, 0.000], [-2.632, 0.000, 7.468]], "species": ["La", "La", "La", "La", "La", "La", "Ga", "Te", "Te", "Te", "Te", "Te"], "frac_coords": [[0.079, 0.398, 0.739], [0.236, 0.236, 0.257], [0.398, 0.079, 0.739], [0.602, 0.921, 0.261], [0.764, 0.764, 0.743], [0.921, 0.602, 0.261], [0.000, 0.000, 0.500], [0.173, 0.827, 0.000], [0.335, 0.665, 0.500], [0.500, 0.500, 0.000], [0.665, 0.335, 0.500], [0.827, 0.173, 0.000]]}

No. 4
{"formula": "LaGa2Te2", "functional": "PBE", "state": "relaxed", "total_energy_ev_per_cell": -20.7, "dos_at_fermi_per_ev_cell": 2.0, "formation_energy_uncorrected_mev_per_atom": -684, "e_above_lowest_polymorph_mev_per_atom": 0, "vol_a3_per_atom": 29.10, "cell": [[-2.007, 2.007, 9.027], [2.007, -2.007, 9.027], [2.007, 2.007, -9.027]], "species": ["La", "Ga", "Ga", "Te", "Te"], "frac_coords": [[0.000, 0.000, 0.000], [0.250, 0.750, 0.500], [0.750, 0.250, 0.500], [0.401, 0.401, 0.000], [0.599, 0.599, 0.000]]}

No. 5
{"formula": "La5Ga2Te", "functional": "PBE", "state": "relaxed", "total_energy_ev_per_cell": -78.7, "dos_at_fermi_per_ev_cell": 18.7, "formation_energy_uncorrected_mev_per_atom": -692, "vol_a3_per_atom": 30.69, "cell": [[-4.292, 4.292, 6.664], [4.292, -4.292, 6.664], [4.292, 4.292, -6.664]], "species": ["La", "La", "La", "La", "La", "La", "La", "La", "La", "La", "Ga", "Ga", "Ga", "Ga", "Te", "Te"], "frac_coords": [[0.000, 0.000, 0.000], [0.012, 0.512, 0.812], [0.199, 0.012, 0.500], [0.301, 0.801, 0.812], [0.488, 0.301, 0.500], [0.500, 0.500, 0.000], [0.512, 0.699, 0.500], [0.699, 0.199, 0.188], [0.801, 0.988, 0.500], [0.988, 0.488, 0.188], [0.144, 0.356, 0.500], [0.356, 0.856, 0.213], [0.644, 0.144, 0.787], [0.856, 0.644, 0.500], [0.250, 0.250, 0.000], [0.750, 0.750, 0.000]]}

No. 6
{"formula": "LaGaTe2", "functional": "PBE", "state": "relaxed", "total_energy_ev_per_cell": -17.9, "dos_at_fermi_per_ev_cell": 0.7, "formation_energy_uncorrected_mev_per_atom": -904, "vol_a3_per_atom": 28.86, "cell": [[5.296, 0.000, 0.000], [0.000, 5.296, 0.000], [0.000, 0.000, 4.116]], "species": ["La", "Ga", "Te", "Te"], "frac_coords": [[0.000, 0.000, 0.000], [0.500, 0.500, 0.000], [0.000, 0.500, 0.500], [0.500, 0.000, 0.500]]}

No. 7
{"formula": "La4GaTe3", "functional": "PBE", "state": "relaxed", "total_energy_ev_per_cell": -86.0, "dos_at_fermi_per_ev_cell": 4.6, "formation_energy_uncorrected_mev_per_atom": -1353, "vol_a3_per_atom": 33.66, "cell": [[7.925, 0.000, 0.000], [0.000, 9.154, 0.000], [-2.633, 0.000, 7.424]], "species": ["La", "La", "La", "La", "La", "La", "La", "La", "Ga", "Ga", "Te", "Te", "Te", "Te", "Te", "Te"], "frac_coords": [[0.235, 0.117, 0.001], [0.235, 0.883, 0.501], [0.240, 0.363, 0.489], [0.240, 0.637, 0.989], [0.760, 0.363, 0.011], [0.760, 0.637, 0.511], [0.765, 0.117, 0.499], [0.765, 0.883, 0.999], [0.000, 0.127, 0.250], [0.000, 0.873, 0.750], [0.000, 0.376, 0.750], [0.000, 0.624, 0.250], [0.500, 0.126, 0.750], [0.500, 0.377, 0.250], [0.500, 0.623, 0.750], [0.500, 0.874, 0.250]]}

No. 8
{"formula": "La2GaTe", "functional": "PBE", "state": "relaxed", "total_energy_ev_per_cell": -20.1, "dos_at_fermi_per_ev_cell": 2.9, "formation_energy_uncorrected_mev_per_atom": -1014, "e_above_lowest_polymorph_mev_per_atom": 69, "vol_a3_per_atom": 32.73, "cell": [[2.182, 1.260, 7.940], [-2.182, 1.260, 7.940], [0.000, -2.519, 7.940]], "species": ["La", "La", "Ga", "Te"], "frac_coords": [[0.247, 0.247, 0.247], [0.753, 0.753, 0.753], [0.500, 0.500, 0.500], [0.000, 0.000, 0.000]]}

No. 9
{"formula": "La3GaTe", "functional": "PBE", "state": "relaxed", "total_energy_ev_per_cell": -49.7, "dos_at_fermi_per_ev_cell": 10.9, "formation_energy_uncorrected_mev_per_atom": -782, "e_above_lowest_polymorph_mev_per_atom": 0, "vol_a3_per_atom": 31.58, "cell": [[8.342, 0.000, 0.000], [0.000, 4.273, 0.000], [-2.080, 0.000, 8.860]], "species": ["La", "La", "La", "La", "La", "La", "Ga", "Ga", "Te", "Te"], "frac_coords": [[0.146, 0.250, 0.105], [0.205, 0.250, 0.464], [0.324, 0.750, 0.856], [0.676, 0.250, 0.144], [0.795, 0.750, 0.536], [0.854, 0.750, 0.895], [0.046, 0.250, 0.740], [0.954, 0.750, 0.260], [0.430, 0.750, 0.264], [0.570, 0.250, 0.736]]}

No. 10
{"formula": "LaGaTe2", "functional": "PBE", "state": "relaxed", "total_energy_ev_per_cell": -18.0, "dos_at_fermi_per_ev_cell": 0.4, "formation_energy_uncorrected_mev_per_atom": -947, "vol_a3_per_atom": 34.39, "cell": [[2.240, 1.293, 7.911], [-2.240, 1.293, 7.911], [0.000, -2.587, 7.911]], "species": ["La", "Ga", "Te", "Te"], "frac_coords": [[0.000, 0.000, 0.000], [0.832, 0.832, 0.832], [0.250, 0.250, 0.250], [0.417, 0.417, 0.417]]}

No. 11
{"formula": "La3GaTe", "functional": "PBE", "state": "relaxed", "total_energy_ev_per_cell": -22.8, "dos_at_fermi_per_ev_cell": 6.5, "formation_energy_uncorrected_mev_per_atom": -363, "e_above_lowest_polymorph_mev_per_atom": 419, "vol_a3_per_atom": 37.94, "cell": [[5.746, 0.000, 0.000], [0.000, 5.746, 0.000], [0.000, 0.000, 5.746]], "species": ["La", "La", "La", "Ga", "Te"], "frac_coords": [[0.000, 0.000, 0.500], [0.000, 0.500, 0.000], [0.500, 0.000, 0.000], [0.000, 0.000, 0.000], [0.500, 0.500, 0.500]]}

No. 12
{"formula": "La2GaTe", "functional": "PBE", "state": "relaxed", "total_energy_ev_per_cell": -19.7, "dos_at_fermi_per_ev_cell": 3.4, "formation_energy_uncorrected_mev_per_atom": -931, "e_above_lowest_polymorph_mev_per_atom": 152, "vol_a3_per_atom": 29.20, "cell": [[3.780, 0.000, 0.000], [0.000, 3.780, 0.000], [0.000, 0.000, 8.176]], "species": ["La", "La", "Ga", "Te"], "frac_coords": [[0.000, 0.000, 0.243], [0.000, 0.000, 0.757], [0.500, 0.500, 0.000], [0.500, 0.500, 0.500]]}

Repeat the second record exactly.
{"formula": "La2GaTe4", "functional": "PBE", "state": "relaxed", "total_energy_ev_per_cell": -66.2, "dos_at_fermi_per_ev_cell": 3.9, "formation_energy_uncorrected_mev_per_atom": -1090, "vol_a3_per_atom": 32.60, "cell": [[7.270, 0.000, 0.000], [0.000, 7.383, 0.000], [-2.645, 0.000, 8.503]], "species": ["La", "La", "La", "La", "Ga", "Ga", "Te", "Te", "Te", "Te", "Te", "Te", "Te", "Te"], "frac_coords": [[0.208, 0.250, 0.045], [0.263, 0.250, 0.570], [0.737, 0.750, 0.430], [0.792, 0.750, 0.955], [0.279, 0.750, 0.322], [0.721, 0.250, 0.678], [0.005, 0.005, 0.263], [0.005, 0.495, 0.263], [0.413, 0.750, 0.067], [0.431, 0.750, 0.646], [0.569, 0.250, 0.354], [0.587, 0.250, 0.933], [0.995, 0.505, 0.737], [0.995, 0.995, 0.737]]}

> Which formula does entry 2 have?

La2GaTe4